# 1
Material: Ta2ZnCl
Method: DFT, PBE
State: optimized geometry

Output
Uncorrected energy (eV per atom): -6.531
Density of states at the Fermi level (states/eV/cell): 4.76
Energy above the most stable polymorph in this dataset (eV per atom): 0.2370
Magnetic moment (μB per formula unit): 0.0

Cell: 9.130 9.130 9.130 Å, 18.54 18.54 18.54°
Sites, in units of the cell vectors:
1 Cl 0.750 0.750 0.750
2 Ta 0.003 0.003 0.003
3 Ta 0.497 0.497 0.497
4 Zn 0.250 0.250 0.250

***

# 2
Material: Tl2SiRu
Method: DFT, PBE
State: optimized geometry

Output
Uncorrected energy (eV per atom): -4.063
Density of states at the Fermi level (states/eV/cell): 4.33
Energy above the most stable polymorph in this dataset (eV per atom): 0.7519
Magnetic moment (μB per formula unit): 0.0

Cell: 4.861 4.861 4.861 Å, 60.00 60.00 60.00°
Sites, in units of the cell vectors:
1 Si 0.250 0.250 0.250
2 Tl 0.750 0.750 0.750
3 Tl 0.000 0.000 0.000
4 Ru 0.500 0.500 0.500

***

# 3
Material: TbSmCoPd
Method: DFT, PBE
State: optimized geometry

Output
Uncorrected energy (eV per atom): -5.829
ΔE_f (eV/atom): -0.4175
Density of states at the Fermi level (states/eV/cell): 3.12
Magnetic moment (μB per formula unit): 0.3

Cell: 4.914 4.914 4.914 Å, 60.00 60.00 60.00°
Sites, in units of the cell vectors:
1 Tb 0.250 0.250 0.250
2 Sm 0.750 0.750 0.750
3 Pd 0.000 0.000 0.000
4 Co 0.500 0.500 0.500

***

# 4
Material: Pm2DyY6Er
Method: DFT, PBE
State: optimized geometry

Output
Uncorrected energy (eV per atom): -5.631
ΔE_f (eV/atom): 0.1139
Density of states at the Fermi level (states/eV/cell): 29.24
Magnetic moment (μB per formula unit): 0.0

Cell: 9.759 8.780 8.780 Å, 117.78 95.01 95.01°
Sites, in units of the cell vectors:
1 Y 0.943 0.877 0.252
2 Y 0.314 0.980 0.424
3 Y 0.814 0.424 0.980
4 Y 0.619 0.498 0.707
5 Y 0.057 0.123 0.748
6 Y 0.443 0.252 0.877
7 Y 0.119 0.707 0.498
8 Y 0.381 0.502 0.293
9 Y 0.186 0.576 0.020
10 Y 0.881 0.293 0.502
11 Y 0.557 0.748 0.123
12 Y 0.686 0.020 0.576
13 Pm 0.544 0.193 0.294
14 Pm 0.456 0.807 0.706
15 Pm 0.956 0.706 0.807
16 Pm 0.044 0.294 0.193
17 Er 0.750 0.019 0.981
18 Er 0.250 0.981 0.019
19 Dy 0.750 0.594 0.406
20 Dy 0.250 0.406 0.594

***

# 5
Material: Zn2FeCl
Method: DFT, PBE
State: optimized geometry

Output
Uncorrected energy (eV per atom): -2.888
Density of states at the Fermi level (states/eV/cell): 4.29
Energy above the most stable polymorph in this dataset (eV per atom): 0.3391
Magnetic moment (μB per formula unit): 2.9

Cell: 5.695 5.695 5.695 Å, 143.17 143.17 53.07°
Sites, in units of the cell vectors:
1 Zn 0.500 0.500 0.000
2 Zn 0.000 0.000 0.000
3 Fe 0.750 0.250 0.500
4 Cl 0.250 0.750 0.500

***

# 6
Material: CaHfTaO6
Method: DFT, PBE
State: optimized geometry

Output
Uncorrected energy (eV per atom): -8.861
Density of states at the Fermi level (states/eV/cell): 7.59
Magnetic moment (μB per formula unit): 1.0

Cell: 4.980 4.980 9.837 Å, 90.00 90.00 90.00°
Sites, in units of the cell vectors:
1 Ca 0.500 0.500 0.501
2 Ca 0.000 0.000 0.001
3 O 0.793 0.207 0.195
4 O 0.207 0.793 0.195
5 O 0.822 0.178 0.494
6 O 0.707 0.707 0.695
7 O 0.293 0.293 0.695
8 O 0.718 0.718 0.310
9 O 0.782 0.218 0.810
10 O 0.178 0.822 0.494
11 O 0.322 0.322 0.994
12 O 0.282 0.282 0.310
13 O 0.678 0.678 0.994
14 O 0.218 0.782 0.810
15 Hf 0.500 0.500 0.163
16 Hf 0.000 0.000 0.663
17 Ta 0.000 0.000 0.338
18 Ta 0.500 0.500 0.838

***

# 7
Material: Ni3RhW
Method: DFT, PBE
State: optimized geometry

Output
Uncorrected energy (eV per atom): -7.638
ΔE_f (eV/atom): -0.1083
Density of states at the Fermi level (states/eV/cell): 9.15
Energy above the most stable polymorph in this dataset (eV per atom): 0.0000
Magnetic moment (μB per formula unit): 0.0

Cell: 4.212 4.571 6.914 Å, 110.03 90.00 90.00°
Sites, in units of the cell vectors:
1 Ni 0.015 0.407 0.089
2 Ni 0.015 0.225 0.701
3 Ni 0.515 0.542 0.682
4 Ni 0.515 0.361 0.294
5 Ni 0.015 0.813 0.882
6 Ni 0.515 0.955 0.501
7 Rh 0.515 0.739 0.083
8 Rh 0.015 0.028 0.300
9 W 0.015 0.626 0.495
10 W 0.515 0.141 0.889

***

# 8
Material: PmYBr
Method: DFT, PBE
State: optimized geometry

Output
Uncorrected energy (eV per atom): -5.052
Density of states at the Fermi level (states/eV/cell): 3.71
Magnetic moment (μB per formula unit): 0.4

Cell: 3.771 3.771 7.409 Å, 90.00 90.00 120.00°
Sites, in units of the cell vectors:
1 Pm 0.000 0.000 0.013
2 Br 0.667 0.333 0.341
3 Y 0.333 0.667 0.645

***

# 9
Material: PrZrGaHg
Method: DFT, PBE
State: optimized geometry

Output
Uncorrected energy (eV per atom): -4.467
ΔE_f (eV/atom): -0.3024
Density of states at the Fermi level (states/eV/cell): 3.62
Magnetic moment (μB per formula unit): 0.0

Cell: 5.136 5.136 5.136 Å, 60.00 60.00 60.00°
Sites, in units of the cell vectors:
1 Hg 0.750 0.750 0.750
2 Ga 0.250 0.250 0.250
3 Zr 0.500 0.500 0.500
4 Pr 0.000 0.000 0.000

***

# 10
Material: ThPt3Rh
Method: DFT, PBE
State: optimized geometry

Output
Uncorrected energy (eV per atom): -7.329
ΔE_f (eV/atom): -0.7506
Density of states at the Fermi level (states/eV/cell): 5.62
Energy above the most stable polymorph in this dataset (eV per atom): 0.0000
Magnetic moment (μB per formula unit): 0.0

Cell: 5.330 5.515 7.064 Å, 112.98 90.00 90.00°
Sites, in units of the cell vectors:
1 Th 0.250 0.387 0.773
2 Th 0.750 0.613 0.227
3 Rh 0.000 0.000 0.000
4 Rh 0.500 0.000 0.000
5 Pt 0.750 0.181 0.362
6 Pt 0.750 0.107 0.714
7 Pt 0.250 0.392 0.286
8 Pt 0.250 0.819 0.638
9 Pt 0.250 0.893 0.286
10 Pt 0.750 0.608 0.714

***

# 11
Material: RbCrCo2Br8
Method: DFT, PBE
State: optimized geometry

Output
Uncorrected energy (eV per atom): -3.830
Magnetic moment (μB per formula unit): 9.0

Cell: 6.591 6.591 10.909 Å, 72.42 72.42 60.00°
Sites, in units of the cell vectors:
1 Br 0.268 0.941 0.147
2 Br 0.356 0.732 0.853
3 Br 0.732 0.059 0.853
4 Br 0.187 0.187 0.440
5 Br 0.941 0.644 0.147
6 Br 0.059 0.356 0.853
7 Br 0.644 0.268 0.147
8 Br 0.813 0.813 0.560
9 Rb 0.500 0.500 0.500
10 Co 0.737 0.737 0.789
11 Co 0.263 0.263 0.211
12 Cr 0.000 0.000 0.000

***

# 12
Material: HoGaCuNi
Method: DFT, PBE
State: optimized geometry

Output
Uncorrected energy (eV per atom): -4.813
ΔE_f (eV/atom): -0.4424
Density of states at the Fermi level (states/eV/cell): 2.70
Energy above the most stable polymorph in this dataset (eV per atom): 0.0000
Magnetic moment (μB per formula unit): 0.0

Cell: 4.212 4.214 5.052 Å, 114.55 90.00 119.98°
Sites, in units of the cell vectors:
1 Ga 0.128 0.255 0.025
2 Ho 0.614 0.227 0.483
3 Cu 0.406 0.812 0.860
4 Ni 0.819 0.638 0.099